## a
VASP calculation (GGA-PBE) on a relaxed Pr12Er6In crystal.

a = 12.1152 Å, b = 12.1152 Å, c = 15.4057 Å
α = 90.00°, β = 90.00°, γ = 120.00°
Space group R-3 (No. 148, hexagonal axes)
Inequivalent atoms, fractional coordinates:
Pr 0.0096 0.8311 0.3134 (multiplicity 18)
Pr 0.0482 0.2021 0.9148 (multiplicity 18)
Er 0.0279 0.5908 0.1922 (multiplicity 18)
In 0.0000 0.0000 0.5000 (multiplicity 3)

Output
D(E_F) ... 1.6238 states/eV per atom

=====

## b
VASP calculation (GGA-PBE) on a relaxed Pr12Er6In crystal.

a = 13.2686 Å, b = 13.2686 Å, c = 12.8727 Å
α = 90.00°, β = 90.00°, γ = 120.00°
Space group R-3 (No. 148, hexagonal axes)
Inequivalent atoms, fractional coordinates:
Pr 0.0006 0.2592 0.0003 (multiplicity 18)
Pr 0.0612 0.5308 0.1102 (multiplicity 18)
Er 0.0884 0.1777 0.7737 (multiplicity 18)
In 0.0000 0.0000 0.0000 (multiplicity 3)

Output
D(E_F) ... 1.3536 states/eV per atom

=====

Of them, the most stable is a and the least stable is b.

=====

## a
VASP calculation (GGA-PBE) on a relaxed Pr2Er4In crystal.

a = 6.4728 Å, b = 11.6878 Å, c = 11.6733 Å
α = 90.00°, β = 90.00°, γ = 90.00°
Space group Cmce (No. 64)
Inequivalent atoms, fractional coordinates:
Pr 0.0000 0.1570 0.0188 (multiplicity 8)
Er 0.0000 0.1738 0.3003 (multiplicity 8)
Er 0.2500 0.0701 0.7500 (multiplicity 8)
In 0.0000 0.0000 0.5000 (multiplicity 4)

Output
D(E_F) ... 1.1611 states/eV per atom

=====

## b
VASP calculation (GGA-PBE) on a relaxed Pr2Er4In crystal.

a = 8.1435 Å, b = 8.1435 Å, c = 6.7250 Å
α = 90.00°, β = 90.00°, γ = 90.00°
Space group I-42m (No. 121)
Inequivalent atoms, fractional coordinates:
Pr 0.0000 0.5000 0.2500 (multiplicity 4)
Er 0.2062 0.2062 0.0792 (multiplicity 8)
In 0.0000 0.0000 0.5000 (multiplicity 2)

Output
D(E_F) ... 1.3392 states/eV per atom

=====

Of them, the most stable is a and the least stable is b.

=====

## a
VASP calculation (GGA-PBE) on a relaxed Pr6Er2In crystal.

a = 14.5773 Å, b = 9.1905 Å, c = 9.0586 Å
α = 90.00°, β = 94.05°, γ = 90.00°
Space group C2/c (No. 15)
Inequivalent atoms, fractional coordinates:
Pr 0.0899 0.1852 0.1211 (multiplicity 8)
Pr 0.1035 0.4335 0.8564 (multiplicity 8)
Pr 0.1422 0.2529 0.5123 (multiplicity 8)
Er 0.2183 0.0779 0.8376 (multiplicity 8)
In 0.0000 0.1152 0.7500 (multiplicity 4)

Output
D(E_F) ... 1.1343 states/eV per atom

=====

## b
VASP calculation (GGA-PBE) on a relaxed Pr6Er2In crystal.

a = 10.9438 Å, b = 10.9438 Å, c = 5.0052 Å
α = 90.00°, β = 90.00°, γ = 90.00°
Space group P4_2/mnm (No. 136)
Inequivalent atoms, fractional coordinates:
Pr 0.0068 0.3317 0.0000 (multiplicity 8)
Pr 0.1565 0.1565 0.5000 (multiplicity 4)
Er 0.1627 0.8373 0.5000 (multiplicity 4)
In 0.0000 0.0000 0.0000 (multiplicity 2)

Output
D(E_F) ... 1.4450 states/eV per atom

=====

Of them, the most stable is b and the least stable is a.

=====

## a
VASP calculation (GGA-PBE) on a relaxed PrEr3In crystal.

a = 7.9911 Å, b = 7.9911 Å, c = 5.9948 Å
α = 90.00°, β = 90.00°, γ = 120.00°
Space group P6_3/mmc (No. 194)
Inequivalent atoms, fractional coordinates:
Pr 0.3333 0.6667 0.2500 (multiplicity 2)
Er 0.1933 0.3866 0.7500 (multiplicity 6)
In 0.0000 0.0000 0.0000 (multiplicity 2)

Output
D(E_F) ... 1.5235 states/eV per atom

=====

## b
VASP calculation (GGA-PBE) on a relaxed PrEr3In crystal.

a = 4.8665 Å, b = 25.2000 Å, c = 4.8374 Å
α = 90.00°, β = 90.00°, γ = 90.00°
Space group Cmcm (No. 63)
Inequivalent atoms, fractional coordinates:
Pr 0.0000 0.1473 0.2500 (multiplicity 4)
Er 0.0000 0.0466 0.7500 (multiplicity 4)
Er 0.0000 0.2505 0.7500 (multiplicity 4)
Er 0.0000 0.4487 0.7500 (multiplicity 4)
In 0.0000 0.3459 0.2500 (multiplicity 4)

Output
D(E_F) ... 1.3736 states/eV per atom

=====

Of them, the most stable is b and the least stable is a.